Record 1
VASP calculation (GGA-PBE) on a relaxed structure of CoTe2PN.

Unit cell a=5.201 b=5.201 c=3.412 alpha=90.00 beta=90.00 gamma=90.00
Positions (direct):
Co: 0.000 0.000 0.000
Te: 0.000 0.500 0.000
Te: 0.500 0.000 0.000
P: 0.500 0.500 0.500
N: 0.000 0.000 0.500

Computed properties:
calculated density = 6.46 g cm⁻³
E_form (uncorrected) = 513 meV per atom
total energy = -4.91 eV per atom
ΔE to the lowest computed polymorph = 0.000 eV/f.u.
spin magnetization = 0.00 μB/cell
SG = P4/mmm (123)

---

Record 2
VASP calculation (GGA-PBE) on a relaxed structure of Li2Ac2CeO6.

Unit cell a=6.604 b=6.604 c=6.604 alpha=53.26 beta=53.26 gamma=53.26
Positions (direct):
Li: 0.071 0.071 0.071
Li: 0.929 0.929 0.929
Ac: 0.294 0.294 0.294
Ac: 0.706 0.706 0.706
Ce: 0.500 0.500 0.500
O: 0.251 0.251 0.717
O: 0.251 0.717 0.251
O: 0.283 0.749 0.749
O: 0.717 0.251 0.251
O: 0.749 0.283 0.749
O: 0.749 0.749 0.283

Computed properties:
calculated density = 6.82 g cm⁻³
E_form (uncorrected) = -2752 meV per atom
total energy = -7.09 eV per atom
spin magnetization = 0.00 μB/cell
SG = R-3m (166)

---

Record 3
VASP calculation (GGA-PBE) on a relaxed structure of Li2PtS2.

Unit cell a=6.531 b=6.531 c=3.498 alpha=105.43 beta=105.43 gamma=36.66
Positions (direct):
Li: 0.156 0.156 0.159
Li: 0.844 0.844 0.841
Pt: 0.500 0.500 0.000
S: 0.367 0.367 0.368
S: 0.633 0.633 0.632

Computed properties:
calculated density = 5.30 g cm⁻³
E_form (uncorrected) = -929 meV per atom
total energy = -4.55 eV per atom
ΔE to the lowest computed polymorph = 0.000 eV/f.u.
spin magnetization = 0.00 μB/cell
SG = C2/m (12)

---

Record 4
VASP calculation (GGA-PBE) on a relaxed structure of Ba2CaAs.

Unit cell a=8.949 b=8.949 c=8.949 alpha=95.90 beta=95.90 gamma=142.59
Positions (direct):
Ba: 0.375 0.223 0.348
Ba: 0.777 0.125 0.152
Ba: 0.875 0.027 0.652
Ba: 0.973 0.625 0.848
Ca: 0.250 0.750 0.500
Ca: 0.500 0.500 0.000
As: 0.000 0.000 0.000
As: 0.750 0.250 0.500

Computed properties:
calculated density = 3.14 g cm⁻³
total energy = -3.10 eV per atom
spin magnetization = 2.00 μB/cell
energy of formation = -0.48 eV per atom
SG = I-42d (122)

---

Record 5
VASP calculation (GGA-PBE) on a relaxed structure of PmNdDy2.

Unit cell a=11.886 b=11.886 c=11.886 alpha=17.45 beta=17.45 gamma=17.45
Positions (direct):
Pm: 0.000 0.000 0.000
Nd: 0.500 0.500 0.500
Dy: 0.250 0.250 0.250
Dy: 0.750 0.750 0.750

Computed properties:
calculated density = 7.74 g cm⁻³
total energy = -4.67 eV per atom
ΔE to the lowest computed polymorph = 0.000 eV/f.u.
spin magnetization = 0.00 μB/cell
energy of formation = 0.01 eV per atom
SG = R-3m (166)

---

Record 6
VASP calculation (GGA-PBE) on a relaxed structure of BaNaOs2.

Unit cell a=6.607 b=6.607 c=6.607 alpha=98.57 beta=98.57 gamma=134.60
Positions (direct):
Ba: 0.000 0.000 0.000
Ba: 0.750 0.250 0.500
Na: 0.250 0.750 0.500
Na: 0.500 0.500 0.000
Os: 0.149 0.625 0.024
Os: 0.375 0.399 0.524
Os: 0.601 0.125 0.976
Os: 0.875 0.851 0.476

Computed properties:
calculated density = 9.48 g cm⁻³
total energy = -4.95 eV per atom
ΔE to the lowest computed polymorph = 0.000 eV/f.u.
spin magnetization = 2.25 μB/cell
energy of formation = 1.48 eV per atom
SG = I-42d (122)

---

Record 7
VASP calculation (GGA-PBE) on a relaxed structure of BaPmAlCd.

Unit cell a=5.631 b=5.631 c=5.631 alpha=60.00 beta=60.00 gamma=60.00
Positions (direct):
Ba: 0.000 0.000 0.000
Pm: 0.500 0.500 0.500
Al: 0.750 0.750 0.750
Cd: 0.250 0.250 0.250

Computed properties:
calculated density = 5.55 g cm⁻³
total energy = -2.97 eV per atom
spin magnetization = 0.00 μB/cell
energy of formation = -0.14 eV per atom
SG = F-43m (216)

---

Record 8
VASP calculation (GGA-PBE) on a relaxed structure of NiHgPd.

Unit cell a=5.677 b=5.677 c=5.677 alpha=149.47 beta=149.47 gamma=43.72
Positions (direct):
Ni: 0.000 0.000 0.000
Hg: 0.335 0.335 0.000
Pd: 0.646 0.646 0.000

Computed properties:
calculated density = 12.90 g cm⁻³
total energy = -3.69 eV per atom
ΔE to the lowest computed polymorph = 0.000 eV/f.u.
spin magnetization = 0.00 μB/cell
energy of formation = 0.07 eV per atom
SG = I4mm (107)

---

Record 9
VASP calculation (GGA-PBE) on a relaxed structure of Li2InMo.

Unit cell a=9.951 b=9.951 c=9.951 alpha=17.02 beta=17.02 gamma=17.02
Positions (direct):
Li: 0.000 0.000 0.000
Li: 0.245 0.245 0.245
In: 0.749 0.749 0.749
Mo: 0.498 0.498 0.498

Computed properties:
calculated density = 5.07 g cm⁻³
total energy = -4.05 eV per atom
spin magnetization = 0.45 μB/cell
energy of formation = 0.30 eV per atom
SG = R3m (160)

---

Record 10
VASP calculation (GGA-PBE) on a relaxed structure of BaAlAs2.

Unit cell a=3.363 b=4.134 c=8.353 alpha=90.00 beta=90.00 gamma=90.00
Positions (direct):
Ba: 0.000 0.000 0.000
Al: 0.500 0.500 0.497
As: 0.000 0.000 0.601
As: 0.500 0.500 0.204

Computed properties:
calculated density = 4.49 g cm⁻³
total energy = -4.01 eV per atom
spin magnetization = 0.00 μB/cell
energy of formation = -0.27 eV per atom
SG = Pmm2 (25)

---

Record 11
VASP calculation (GGA-PBE) on a relaxed structure of CdBrO2.

Unit cell a=5.370 b=5.370 c=5.370 alpha=113.66 beta=113.66 gamma=101.39
Positions (direct):
Cd: 0.250 0.250 0.000
Cd: 0.750 0.750 0.000
Br: 0.250 0.750 0.500
Br: 0.750 0.250 0.500
O: 0.177 0.677 0.854
O: 0.323 0.177 0.500
O: 0.677 0.823 0.500
O: 0.823 0.323 0.146

Computed properties:
calculated density = 6.34 g cm⁻³
E_form (uncorrected) = 449 meV per atom
total energy = -2.68 eV per atom
ΔE to the lowest computed polymorph = 3.559 eV/f.u.
spin magnetization = 1.08 μB/cell
SG = I4/mcm (140)

---

Record 12
VASP calculation (GGA-PBE) on a relaxed structure of TlGaHg2Br.

Unit cell a=5.336 b=5.336 c=5.804 alpha=90.00 beta=90.00 gamma=90.00
Positions (direct):
Tl: 0.000 0.000 0.000
Ga: 0.500 0.500 0.500
Hg: 0.000 0.500 0.500
Hg: 0.500 0.000 0.500
Br: 0.500 0.500 0.000

Computed properties:
calculated density = 7.59 g cm⁻³
E_form (uncorrected) = -163 meV per atom
total energy = -1.70 eV per atom
ΔE to the lowest computed polymorph = 0.023 eV/f.u.
spin magnetization = 0.00 μB/cell
SG = P4/mmm (123)

---

Record 13
VASP calculation (GGA-PBE) on a relaxed structure of LiAc2Sn8.

Unit cell a=4.902 b=4.902 c=12.982 alpha=90.00 beta=90.00 gamma=90.00
Positions (direct):
Li: 0.000 0.000 0.000
Ac: 0.000 0.000 0.307
Ac: 0.000 0.000 0.693
Sn: 0.000 0.500 0.119
Sn: 0.000 0.500 0.500
Sn: 0.000 0.500 0.881
Sn: 0.500 0.000 0.119
Sn: 0.500 0.000 0.500
Sn: 0.500 0.000 0.881
Sn: 0.500 0.500 0.311
Sn: 0.500 0.500 0.689

Computed properties:
calculated density = 7.51 g cm⁻³
total energy = -4.23 eV per atom
spin magnetization = 0.00 μB/cell
energy of formation = -0.39 eV per atom
SG = P4/mmm (123)

---

Record 14
VASP calculation (GGA-PBE) on a relaxed structure of CsLaPPt2.

Unit cell a=5.139 b=5.139 c=5.490 alpha=90.00 beta=90.00 gamma=90.00
Positions (direct):
Cs: 0.000 0.000 0.000
La: 0.500 0.500 0.500
P: 0.000 0.000 0.500
Pt: 0.000 0.500 0.000
Pt: 0.500 0.000 0.000

Computed properties:
calculated density = 7.94 g cm⁻³
total energy = -3.62 eV per atom
ΔE to the lowest computed polymorph = 1.355 eV/f.u.
spin magnetization = 0.00 μB/cell
energy of formation = 1.04 eV per atom
SG = P4/mmm (123)

---

Record 15
VASP calculation (GGA-PBE) on a relaxed structure of ScGaOsO6.

Unit cell a=5.096 b=5.096 c=9.145 alpha=90.00 beta=90.00 gamma=120.00
Positions (direct):
Sc: 0.000 0.000 0.000
Sc: 0.000 0.000 0.500
Ga: 0.333 0.667 0.250
Ga: 0.667 0.333 0.750
Os: 0.333 0.667 0.750
Os: 0.667 0.333 0.250
O: 0.010 0.353 0.634
O: 0.010 0.657 0.866
O: 0.343 0.353 0.866
O: 0.343 0.990 0.634
O: 0.353 0.010 0.134
O: 0.353 0.343 0.366
O: 0.647 0.657 0.634
O: 0.647 0.990 0.866
O: 0.657 0.010 0.366
O: 0.657 0.647 0.134
O: 0.990 0.343 0.134
O: 0.990 0.647 0.366

Computed properties:
calculated density = 6.47 g cm⁻³
E_form (uncorrected) = -1836 meV per atom
total energy = -7.43 eV per atom
spin magnetization = 3.96 μB/cell
SG = P-31c (163)

---

Record 16
VASP calculation (GGA-PBE) on a relaxed structure of ZrCd2Si.

Unit cell a=3.262 b=3.262 c=7.636 alpha=90.00 beta=90.00 gamma=90.00
Positions (direct):
Zr: 0.000 0.000 0.000
Cd: 0.000 0.000 0.549
Cd: 0.500 0.500 0.284
Si: 0.500 0.500 0.786

Computed properties:
calculated density = 7.03 g cm⁻³
E_form (uncorrected) = -9 meV per atom
total energy = -3.96 eV per atom
spin magnetization = 0.00 μB/cell
SG = P4mm (99)

---

Record 17
VASP calculation (GGA-PBE) on a relaxed structure of NdAlInPd3.

Unit cell a=7.116 b=7.116 c=5.865 alpha=90.00 beta=90.00 gamma=121.06
Positions (direct):
Nd: 0.194 0.806 0.750
Nd: 0.806 0.194 0.250
Al: 0.126 0.874 0.250
Al: 0.874 0.126 0.750
In: 0.444 0.556 0.750
In: 0.556 0.444 0.250
Pd: 0.197 0.197 0.000
Pd: 0.197 0.197 0.500
Pd: 0.325 0.675 0.250
Pd: 0.675 0.325 0.750
Pd: 0.803 0.803 0.000
Pd: 0.803 0.803 0.500

Computed properties:
calculated density = 7.90 g cm⁻³
total energy = -5.01 eV per atom
spin magnetization = 0.00 μB/cell
energy of formation = -0.54 eV per atom
SG = Cmcm (63)

---

Record 18
VASP calculation (GGA-PBE) on a relaxed structure of TeP2Pb.

Unit cell a=6.860 b=6.860 c=6.860 alpha=146.55 beta=146.55 gamma=48.03
Positions (direct):
Te: 0.000 0.000 0.000
P: 0.250 0.750 0.500
P: 0.500 0.500 0.000
Pb: 0.750 0.250 0.500

Computed properties:
calculated density = 6.75 g cm⁻³
E_form (uncorrected) = 556 meV per atom
total energy = -3.86 eV per atom
ΔE to the lowest computed polymorph = 1.796 eV/f.u.
spin magnetization = 0.00 μB/cell
SG = I-4m2 (119)

---

Record 19
VASP calculation (GGA-PBE) on a relaxed structure of Tb3CuAu3.

Unit cell a=10.001 b=10.001 c=10.001 alpha=158.71 beta=153.72 gamma=34.07
Positions (direct):
Tb: 0.000 0.000 0.000
Tb: 0.371 0.371 0.000
Tb: 0.689 0.189 0.500
Cu: 0.256 0.756 0.500
Au: 0.125 0.625 0.500
Au: 0.532 0.532 0.000
Au: 0.831 0.831 0.000

Computed properties:
calculated density = 11.69 g cm⁻³
total energy = -4.68 eV per atom
spin magnetization = 0.00 μB/cell
energy of formation = -0.71 eV per atom
SG = Imm2 (44)

---

Record 20
VASP calculation (GGA-PBE) on a relaxed structure of YIn3Co.

Unit cell a=4.903 b=4.903 c=4.903 alpha=90.00 beta=90.00 gamma=90.00
Positions (direct):
Y: 0.000 0.000 0.000
In: 0.000 0.500 0.500
In: 0.500 0.000 0.500
In: 0.500 0.500 0.000
Co: 0.500 0.500 0.500

Computed properties:
calculated density = 6.94 g cm⁻³
total energy = -4.43 eV per atom
ΔE to the lowest computed polymorph = 0.000 eV/f.u.
spin magnetization = 0.00 μB/cell
energy of formation = -0.08 eV per atom
SG = Pm-3m (221)

---

Record 21
VASP calculation (GGA-PBE) on a relaxed structure of Mn2BeTe.

Unit cell a=2.998 b=2.998 c=7.417 alpha=90.00 beta=90.00 gamma=90.00
Positions (direct):
Mn: 0.000 0.000 0.000
Mn: 0.500 0.500 0.191
Be: 0.500 0.500 0.863
Te: 0.000 0.000 0.443

Computed properties:
calculated density = 6.14 g cm⁻³
E_form (uncorrected) = 392 meV per atom
total energy = -5.91 eV per atom
ΔE to the lowest computed polymorph = 0.440 eV/f.u.
spin magnetization = 0.50 μB/cell
SG = P4mm (99)

---

Record 22
VASP calculation (GGA-PBE) on a relaxed structure of Lu2CdIr.

Unit cell a=3.448 b=3.448 c=7.360 alpha=90.00 beta=90.00 gamma=90.00
Positions (direct):
Lu: 0.000 0.000 0.216
Lu: 0.000 0.000 0.784
Cd: 0.500 0.500 0.500
Ir: 0.500 0.500 0.000

Computed properties:
calculated density = 12.42 g cm⁻³
total energy = -5.39 eV per atom
ΔE to the lowest computed polymorph = 0.000 eV/f.u.
spin magnetization = 0.00 μB/cell
energy of formation = -0.69 eV per atom
SG = P4/mmm (123)

---

Record 23
VASP calculation (GGA-PBE) on a relaxed structure of TaHgTe2.

Unit cell a=9.183 b=3.520 c=14.686 alpha=90.00 beta=109.94 gamma=90.00
Positions (direct):
Ta: 0.135 0.247 0.239
Ta: 0.135 0.253 0.739
Ta: 0.865 0.747 0.261
Ta: 0.865 0.753 0.761
Hg: 0.111 0.247 0.434
Hg: 0.111 0.253 0.934
Hg: 0.889 0.747 0.066
Hg: 0.889 0.753 0.566
Te: 0.250 0.747 0.125
Te: 0.250 0.753 0.625
Te: 0.349 0.748 0.359
Te: 0.349 0.752 0.859
Te: 0.651 0.248 0.141
Te: 0.651 0.252 0.641
Te: 0.750 0.247 0.375
Te: 0.750 0.253 0.875

Computed properties:
calculated density = 9.48 g cm⁻³
E_form (uncorrected) = 72 meV per atom
total energy = -4.54 eV per atom
spin magnetization = 0.00 μB/cell
SG = P2_1/c (14)

---

Record 24
VASP calculation (GGA-PBE) on a relaxed structure of NaHgAu.

Unit cell a=5.347 b=5.347 c=5.347 alpha=138.41 beta=138.41 gamma=60.28
Positions (direct):
Na: 0.000 0.000 0.000
Hg: 0.673 0.673 0.000
Au: 0.338 0.338 0.000

Computed properties:
calculated density = 10.48 g cm⁻³
total energy = -1.84 eV per atom
ΔE to the lowest computed polymorph = 0.170 eV/f.u.
spin magnetization = 0.00 μB/cell
energy of formation = -0.20 eV per atom
SG = I4mm (107)

---

Record 25
VASP calculation (GGA-PBE) on a relaxed structure of SrZr2V2.

Unit cell a=8.231 b=8.231 c=3.322 alpha=90.00 beta=90.00 gamma=90.00
Positions (direct):
Sr: 0.000 0.000 0.000
Sr: 0.500 0.500 0.000
Zr: 0.173 0.327 0.500
Zr: 0.327 0.827 0.500
Zr: 0.673 0.173 0.500
Zr: 0.827 0.673 0.500
V: 0.105 0.605 0.000
V: 0.395 0.105 0.000
V: 0.605 0.895 0.000
V: 0.895 0.395 0.000

Computed properties:
calculated density = 5.49 g cm⁻³
total energy = -6.89 eV per atom
ΔE to the lowest computed polymorph = 0.000 eV/f.u.
spin magnetization = 2.13 μB/cell
energy of formation = 0.51 eV per atom
SG = P4/mbm (127)

---

Record 26
VASP calculation (GGA-PBE) on a relaxed structure of BaSrHg2.

Unit cell a=7.593 b=7.593 c=7.593 alpha=107.94 beta=107.94 gamma=112.59
Positions (direct):
Ba: 0.000 0.000 0.000
Ba: 0.750 0.250 0.500
Sr: 0.250 0.750 0.500
Sr: 0.500 0.500 0.000
Hg: 0.139 0.625 0.014
Hg: 0.375 0.389 0.514
Hg: 0.611 0.125 0.986
Hg: 0.875 0.861 0.486

Computed properties:
calculated density = 6.19 g cm⁻³
total energy = -1.33 eV per atom
spin magnetization = 0.00 μB/cell
energy of formation = -0.28 eV per atom
SG = I-42d (122)